# Ho2TiO5

A geometry-optimized Ho2TiO5 structure (GGA-PBEsol, Alexandria).

Lattice parameters (Å, degrees): 4.014 10.917 10.343 90.00 90.00 90.00
Space group Cmcm (No. 63)
One atom of each set of equivalent atoms:
Ho: 0.000 0.143 0.070 x8
Ti: 0.000 0.171 0.750 x4
O: 0.000 0.050 0.623 x8
O: 0.000 0.276 0.250 x4
O: 0.000 0.289 0.591 x8

Computed properties:
For the total magnetic moment, the calculation gives 0.000 μB per cell. The energy above the most stable polymorph in this dataset is 0.056 eV/atom. As for the electronic total energy: -8.97 eV/atom. The calculation puts the calculated volume at 453.2 Å³/cell. The density of states at the Fermi level comes out at 0.00 states/eV/f.u. The density comes out at 6.7 Mg/m³. As for the formation energy from raw total energies: -3.41 eV/atom.